NiPbI2O | GGA+U | relaxed

```
NiPbI2O
1.0
6.1237 0.0000 0.0000
0.0000 6.1237 0.0000
0.0000 0.0000 4.2160
Ni Pb I O
1 1 2 1
Direct
0.0000 0.0000 0.0000 Ni
0.5000 0.5000 0.5000 Pb
0.0000 0.5000 0.5000 I
0.5000 0.0000 0.5000 I
0.5000 0.5000 0.0000 O
```

Calculated values
Space-group type: P4/mmm
Calculated total energy (eV per cell): -13.4